Entry 1:
Density functional theory data (PBE-GGA) for a relaxed structure of ScBe2Ru.

- N(E_F): 0.54 states/eV per atom
- Space group: Amm2, No. 38
- Relative energy among the computed polymorphs: 0.031 eV per atom
- Magnetization: 0.00 μB/cell

Cell lengths 3.3885, 3.1477, 5.0263 Å; angles 71.72, 90.00, 90.00 degrees
Fractional coordinates of all 4 atoms:
1 Sc 0.5000 0.7920 0.7913
2 Ru 0.0000 0.4829 0.4090
3 Be 0.0000 0.1714 0.0322
4 Be 0.5000 0.0537 0.2675

Entry 2:
Density functional theory data (PBE-GGA) for a relaxed structure of Sc2BeRu.

- N(E_F): 0.67 states/eV per atom
- Space group: P4mm, No. 99
- Magnetization: 0.00 μB/cell
- DFT total energy: -6.708 eV/atom

Cell lengths 3.1357, 3.1357, 7.0002 Å; angles 90.00, 90.00, 90.00 degrees
Fractional coordinates of all 4 atoms:
1 Sc 0.0000 0.0000 0.9400
2 Sc 0.5000 0.5000 0.3186
3 Ru 0.5000 0.5000 0.6816
4 Be 0.0000 0.0000 0.5597

Entry 3:
Density functional theory data (PBE-GGA) for a relaxed structure of ScBeRu.

- N(E_F): 0.33 states/eV per atom
- Space group: P3m1, No. 156
- Relative energy among the computed polymorphs: 0.375 eV per atom
- Magnetization: 0.00 μB/cell

Cell lengths 3.1704, 3.1704, 5.2697 Å; angles 90.00, 90.00, 120.00 degrees
Fractional coordinates of all 3 atoms:
1 Sc 0.3333 0.6667 0.6622
2 Ru 0.6667 0.3333 0.2898
3 Be 0.0000 0.0000 0.0480

Entry 4:
Density functional theory data (PBE-GGA) for a relaxed structure of Sc2BeRu.

- N(E_F): 0.94 states/eV per atom
- Space group: Amm2, No. 38
- Magnetization: 0.00 μB/cell
- DFT total energy: -6.716 eV/atom

Cell lengths 3.9759, 3.4350, 5.3855 Å; angles 71.34, 90.00, 90.00 degrees
Fractional coordinates of all 4 atoms:
1 Sc 0.0000 0.9776 0.9193
2 Sc 0.5000 0.2724 0.3308
3 Ru 0.5000 0.5646 0.7449
4 Be 0.0000 0.6854 0.5049